DFT (GGA-PBE) results for a relaxed structure of RbWAu.

CIF file:
```
data_RbWAu
_chemical_formula_sum 'Rb4 W4 Au4'
_space_group_name_H-M_alt 'F -4 3 m'
_space_group_IT_number 216
_space_group_name_Hall 'F -4 2 3'
_cell_length_a 7.653
_cell_length_b 7.653
_cell_length_c 7.653
_cell_angle_alpha 90.00
_cell_angle_beta 90.00
_cell_angle_gamma 90.00
loop_
_atom_site_label
_atom_site_fract_x
_atom_site_fract_y
_atom_site_fract_z
Rb1 0.000 0.000 0.000
W1 0.250 0.250 0.250
Au1 0.250 0.250 0.750
```

DFT (GGA-PBE) results for a relaxed structure of RbYAu.

CIF file:
```
data_RbYAu
_chemical_formula_sum 'Rb4 Y4 Au4'
_space_group_name_H-M_alt 'F -4 3 m'
_space_group_IT_number 216
_space_group_name_Hall 'F -4 2 3'
_cell_length_a 7.446
_cell_length_b 7.446
_cell_length_c 7.446
_cell_angle_alpha 90.00
_cell_angle_beta 90.00
_cell_angle_gamma 90.00
loop_
_atom_site_label
_atom_site_fract_x
_atom_site_fract_y
_atom_site_fract_z
Rb1 0.000 0.000 0.000
Y1 0.000 0.000 0.500
Au1 0.250 0.250 0.250
```

DFT (GGA-PBE) results for a relaxed structure of RbYAu.

CIF file:
```
data_RbYAu
_chemical_formula_sum 'Rb4 Y4 Au4'
_space_group_name_H-M_alt 'F -4 3 m'
_space_group_IT_number 216
_space_group_name_Hall 'F -4 2 3'
_cell_length_a 7.243
_cell_length_b 7.243
_cell_length_c 7.243
_cell_angle_alpha 90.00
_cell_angle_beta 90.00
_cell_angle_gamma 90.00
loop_
_atom_site_label
_atom_site_fract_x
_atom_site_fract_y
_atom_site_fract_z
Rb1 0.000 0.000 0.000
Y1 0.250 0.250 0.250
Au1 0.250 0.250 0.750
```

DFT (GGA-PBE) results for a relaxed structure of Rb3Zn4Au4.

CIF file:
```
data_Rb3Zn4Au4
_chemical_formula_sum 'Rb6 Zn8 Au8'
_space_group_name_H-M_alt 'I -4 3 m'
_space_group_IT_number 217
_space_group_name_Hall 'I -4 2 3'
_cell_length_a 8.301
_cell_length_b 8.301
_cell_length_c 8.301
_cell_angle_alpha 90.00
_cell_angle_beta 90.00
_cell_angle_gamma 90.00
loop_
_atom_site_label
_atom_site_fract_x
_atom_site_fract_y
_atom_site_fract_z
Rb1 0.000 0.000 0.500
Zn1 0.120 0.120 0.880
Au1 0.196 0.196 0.196
```

no.,E (eV per cell)
1,-39.43
2,-40.78
3,-33.13
4,-47.28